#w
# ZnHIO2

An optimized crystal structure of ZnHIO2 (PBE, the Alexandria database).

a = 4.274 Å, b = 4.274 Å, c = 3.430 Å
α = 90.00°, β = 90.00°, γ = 90.00°
Element x y z (fractional)
O  0.500  0.000  0.000
Zn  0.500  0.500  0.500
I  0.000  0.000  0.500
O  0.000  0.500  0.000
H  0.000  0.000  0.000

Total magnetization   0.00 μB per formula unit
Space-group type   No. 123

=====

#x
# ZnHIO2

An optimized crystal structure of ZnHIO2 (PBE, the Alexandria database).

a = 3.654 Å, b = 3.654 Å, c = 7.520 Å
α = 90.00°, β = 90.00°, γ = 90.00°
Element x y z (fractional)
O  0.000  0.500  0.000
Zn  0.000  0.000  0.000
I  0.000  0.000  0.500
O  0.500  0.000  0.000
H  0.500  0.500  0.500

Total magnetization   0.00 μB per formula unit
Space-group type   No. 123

=====

Which structure is the least stable? The one labeled #w.

=====

#w
# ZrHIO2

An optimized crystal structure of ZrHIO2 (PBE, the Alexandria database).

a = 4.235 Å, b = 4.235 Å, c = 3.476 Å
α = 90.00°, β = 90.00°, γ = 90.00°
Element x y z (fractional)
O  0.500  0.000  0.000
O  0.000  0.500  0.000
H  0.000  0.000  0.000
Zr  0.500  0.500  0.500
I  0.000  0.000  0.500

Total magnetization   0.00 μB per formula unit
Space-group type   No. 123

=====

#x
# ZrHIO2

An optimized crystal structure of ZrHIO2 (PBE, the Alexandria database).

a = 4.035 Å, b = 4.035 Å, c = 6.328 Å
α = 90.00°, β = 90.00°, γ = 90.00°
Each line ends with the local moment (μB).
Element x y z (fractional)
O  0.500  0.000  0.000  -0.12
O  0.000  0.500  0.000  -0.12
Zr  0.000  0.000  0.000  0.03
I  0.000  0.000  0.500  -0.01
H  0.500  0.500  0.500  0.09

Total magnetization   0.06 μB per formula unit
Space-group type   No. 123

=====

Which structure is the least stable? The one labeled #w.

=====

#w
# ZrHI2O

An optimized crystal structure of ZrHI2O (PBE, the Alexandria database).

a = 5.255 Å, b = 5.255 Å, c = 3.316 Å
α = 90.00°, β = 90.00°, γ = 90.00°
Each line ends with the local moment (μB).
Element x y z (fractional)
I  0.500  0.000  0.000  -0.01
Zr  0.500  0.500  0.500  0.24
H  0.000  0.000  0.000  0.00
O  0.000  0.000  0.500  -0.02
I  0.000  0.500  0.000  -0.01

Total magnetization   0.31 μB per formula unit
Space-group type   No. 123

=====

#x
# ZrHI2O

An optimized crystal structure of ZrHI2O (PBE, the Alexandria database).

a = 5.884 Å, b = 5.884 Å, c = 4.028 Å
α = 90.00°, β = 90.00°, γ = 90.00°
Each line ends with the local moment (μB).
Element x y z (fractional)
O  0.000  0.000  0.500  0.00
H  0.500  0.500  0.500  0.37
Zr  0.000  0.000  0.000  0.01
I  0.500  0.000  0.000  0.02
I  0.000  0.500  0.000  0.02

Total magnetization   1.01 μB per formula unit
Space-group type   No. 123

=====

Which structure is the least stable? The one labeled #w.

=====

#w
# HOs2I

An optimized crystal structure of HOs2I (PBE, the Alexandria database).

a = 5.027 Å, b = 5.027 Å, c = 5.928 Å
α = 64.91°, β = 64.91°, γ = 90.00°
Element x y z (fractional)
Os  0.488  0.125  0.250
Os  0.262  0.625  0.250
Os  0.375  0.512  0.750
I  0.750  0.250  0.500
H  0.500  0.500  0.000
H  0.250  0.750  0.500
Os  0.875  0.738  0.750
I  0.000  0.000  0.000

Total magnetization   0.00 μB per formula unit
Space-group type   No. 122

=====

#x
# HOs2I

An optimized crystal structure of HOs2I (PBE, the Alexandria database).

a = 4.299 Å, b = 4.299 Å, c = 4.299 Å
α = 60.00°, β = 60.00°, γ = 60.00°
Element x y z (fractional)
Os  0.750  0.750  0.750
Os  0.250  0.250  0.250
I  0.500  0.500  0.500
H  0.000  0.000  0.000

Total magnetization   0.00 μB per formula unit
Space-group type   No. 225

=====

Which structure is the least stable? The one labeled #x.